[1]
Below is AgPtW2 after structural relaxation, with properties calculated at the PBE level.

Energy of formation ... 0.451 eV/atom

a = 4.5203 Å, b = 4.5203 Å, c = 4.5203 Å
α = 60.00°, β = 60.00°, γ = 60.00°
Positions (direct):
Ag: 0.0000 0.0000 0.0000
Pt: 0.7500 0.7500 0.7500
W: 0.2500 0.2500 0.2500
W: 0.5000 0.5000 0.5000


[2]
Below is RbLiAsAu after structural relaxation, with properties calculated at the PBE level.

Excess energy over the best structure of this formula in the dataset ... 0.005 eV per atom

a = 5.0695 Å, b = 5.0695 Å, c = 5.0695 Å
α = 60.00°, β = 60.00°, γ = 60.00°
Positions (direct):
Rb: 0.0000 0.0000 0.0000
Li: 0.2500 0.2500 0.2500
As: 0.5000 0.5000 0.5000
Au: 0.7500 0.7500 0.7500


[3]
Below is LuPaNi after structural relaxation, with properties calculated at the PBE level.

Excess energy over the best structure of this formula in the dataset ... 0.000 eV per atom
Energy of formation ... 0.118 eV/atom

a = 4.5959 Å, b = 4.5959 Å, c = 4.5959 Å
α = 60.00°, β = 60.00°, γ = 60.00°
Positions (direct):
Lu: 0.0000 0.0000 0.0000
Pa: 0.5000 0.5000 0.5000
Ni: 0.7500 0.7500 0.7500


[4]
Below is NbCdNiPb after structural relaxation, with properties calculated at the PBE level.

E_tot ... -4.601 eV per atom

a = 4.7420 Å, b = 4.7420 Å, c = 4.7420 Å
α = 60.00°, β = 60.00°, γ = 60.00°
Positions (direct):
Nb: 0.0000 0.0000 0.0000
Cd: 0.7500 0.7500 0.7500
Ni: 0.5000 0.5000 0.5000
Pb: 0.2500 0.2500 0.2500


[5]
Below is TaCuSbPd after structural relaxation, with properties calculated at the PBE level.

Excess energy over the best structure of this formula in the dataset ... 0.136 eV per atom

a = 4.5991 Å, b = 4.5991 Å, c = 4.5991 Å
α = 60.00°, β = 60.00°, γ = 60.00°
Positions (direct):
Ta: 0.0000 0.0000 0.0000
Cu: 0.7500 0.7500 0.7500
Sb: 0.5000 0.5000 0.5000
Pd: 0.2500 0.2500 0.2500


[6]
Below is SrSnW after structural relaxation, with properties calculated at the PBE level.

Excess energy over the best structure of this formula in the dataset ... 0.633 eV per atom

a = 5.1604 Å, b = 5.1604 Å, c = 5.1604 Å
α = 60.00°, β = 60.00°, γ = 60.00°
Positions (direct):
Sr: 0.0000 0.0000 0.0000
Sn: 0.7500 0.7500 0.7500
W: 0.2500 0.2500 0.2500


[7]
Below is Hf2ScIn after structural relaxation, with properties calculated at the PBE level.

E_tot ... -7.234 eV per atom

a = 4.9823 Å, b = 4.9823 Å, c = 4.9823 Å
α = 60.00°, β = 60.00°, γ = 60.00°
Positions (direct):
Hf: 0.0000 0.0000 0.0000
Hf: 0.2500 0.2500 0.2500
Sc: 0.7500 0.7500 0.7500
In: 0.5000 0.5000 0.5000


[8]
Below is Cd2IrAu after structural relaxation, with properties calculated at the PBE level.

Energy of formation ... 0.148 eV/atom

a = 4.6636 Å, b = 4.6636 Å, c = 4.6636 Å
α = 60.00°, β = 60.00°, γ = 60.00°
Positions (direct):
Cd: 0.0000 0.0000 0.0000
Cd: 0.2500 0.2500 0.2500
Ir: 0.7500 0.7500 0.7500
Au: 0.5000 0.5000 0.5000


[9]
Below is CsErTh after structural relaxation, with properties calculated at the PBE level.

Excess energy over the best structure of this formula in the dataset ... 0.000 eV per atom

a = 5.8618 Å, b = 5.8618 Å, c = 5.8618 Å
α = 60.00°, β = 60.00°, γ = 60.00°
Positions (direct):
Cs: 0.0000 0.0000 0.0000
Er: 0.2500 0.2500 0.2500
Th: 0.5000 0.5000 0.5000


[10]
Below is Co2Pb after structural relaxation, with properties calculated at the PBE level.

E_tot ... -3.562 eV per atom

a = 8.2811 Å, b = 8.2811 Å, c = 8.2811 Å
α = 60.00°, β = 60.00°, γ = 60.00°
Positions (direct):
Co: 0.0000 0.0000 0.0000
Co: 0.0000 0.0000 0.5000
Co: 0.0000 0.5000 0.0000
Co: 0.5000 0.0000 0.0000
Pb: 0.1250 0.1250 0.1250
Pb: 0.8750 0.8750 0.8750


[11]
Below is DySnAuO3 after structural relaxation, with properties calculated at the PBE level.

E_tot ... -6.307 eV per atom

a = 6.7354 Å, b = 6.7354 Å, c = 8.3248 Å
α = 90.00°, β = 90.00°, γ = 149.42°
Positions (direct):
Dy: 0.0000 0.0000 0.0000
Dy: 0.0000 0.0000 0.5000
Sn: 0.3230 0.6770 0.7500
Sn: 0.6770 0.3230 0.2500
Au: 0.3553 0.6447 0.2500
Au: 0.6447 0.3553 0.7500
O: 0.0757 0.9243 0.2500
O: 0.3885 0.6115 0.0021
O: 0.3885 0.6115 0.4979
O: 0.6115 0.3885 0.5021
O: 0.6115 0.3885 0.9979
O: 0.9243 0.0757 0.7500


[12]
Below is Gd4BBr5 after structural relaxation, with properties calculated at the PBE level.

E_tot ... -4.783 eV per atom

a = 9.2741 Å, b = 9.2741 Å, c = 8.2889 Å
α = 102.44°, β = 102.44°, γ = 24.59°
Positions (direct):
Gd: 0.0008 0.0008 0.2907
Gd: 0.3573 0.3573 0.4261
Gd: 0.6427 0.6427 0.5739
Gd: 0.9992 0.9992 0.7093
B: 0.5000 0.5000 0.5000
Br: 0.1647 0.1647 0.8355
Br: 0.1712 0.1712 0.3311
Br: 0.5000 0.5000 0.0000
Br: 0.8288 0.8288 0.6689
Br: 0.8353 0.8353 0.1645


[13]
Below is PuI4 after structural relaxation, with properties calculated at the PBE level.

E_tot ... -4.943 eV per atom

a = 8.5675 Å, b = 8.5675 Å, c = 7.6859 Å
α = 91.95°, β = 91.95°, γ = 63.00°
Positions (direct):
Pu: 0.1360 0.8640 0.7500
Pu: 0.8640 0.1360 0.2500
I: 0.0026 0.2290 0.9287
I: 0.2290 0.0026 0.4287
I: 0.2373 0.5140 0.6074
I: 0.4860 0.7627 0.8926
I: 0.5140 0.2373 0.1074
I: 0.7627 0.4860 0.3926
I: 0.7710 0.9974 0.5713
I: 0.9974 0.7710 0.0713


[14]
Below is ErPaAg after structural relaxation, with properties calculated at the PBE level.

Excess energy over the best structure of this formula in the dataset ... 0.000 eV per atom
Energy of formation ... 0.570 eV/atom

a = 4.9393 Å, b = 4.9393 Å, c = 4.9393 Å
α = 60.00°, β = 60.00°, γ = 60.00°
Positions (direct):
Er: 0.0000 0.0000 0.0000
Pa: 0.5000 0.5000 0.5000
Ag: 0.2500 0.2500 0.2500


[15]
Below is TbSmGe2 after structural relaxation, with properties calculated at the PBE level.

E_tot ... -5.229 eV per atom

a = 9.5618 Å, b = 9.5618 Å, c = 5.4728 Å
α = 90.00°, β = 90.00°, γ = 154.55°
Positions (direct):
Tb: 0.2048 0.7952 0.7500
Tb: 0.7952 0.2048 0.2500
Sm: 0.4233 0.5767 0.7500
Sm: 0.5767 0.4233 0.2500
Ge: 0.0443 0.9557 0.7500
Ge: 0.1855 0.8145 0.2500
Ge: 0.8145 0.1855 0.7500
Ge: 0.9557 0.0443 0.2500


[16]
Below is NaAsIrO after structural relaxation, with properties calculated at the PBE level.

Excess energy over the best structure of this formula in the dataset ... 0.213 eV per atom

a = 4.0062 Å, b = 4.0062 Å, c = 8.0183 Å
α = 90.00°, β = 90.00°, γ = 90.00°
Positions (direct):
Na: 0.2500 0.2500 0.1231
Na: 0.7500 0.7500 0.8769
As: 0.2500 0.2500 0.6829
As: 0.7500 0.7500 0.3171
Ir: 0.2500 0.7500 0.5000
Ir: 0.7500 0.2500 0.5000
O: 0.2500 0.7500 0.0000
O: 0.7500 0.2500 0.0000


[17]
Below is TcGe2Pt after structural relaxation, with properties calculated at the PBE level.

E_tot ... -6.163 eV per atom

a = 4.4821 Å, b = 4.4821 Å, c = 4.4821 Å
α = 60.00°, β = 60.00°, γ = 60.00°
Positions (direct):
Tc: 0.0000 0.0000 0.0000
Ge: 0.5000 0.5000 0.5000
Ge: 0.7500 0.7500 0.7500
Pt: 0.2500 0.2500 0.2500


[18]
Below is Gd3InPb6 after structural relaxation, with properties calculated at the PBE level.

E_tot ... -4.277 eV per atom

a = 12.8504 Å, b = 12.8504 Å, c = 4.7474 Å
α = 90.00°, β = 90.00°, γ = 158.71°
Positions (direct):
Gd: 0.0000 0.0000 0.0000
Gd: 0.1878 0.8122 0.0000
Gd: 0.8122 0.1878 0.0000
In: 0.5000 0.5000 0.5000
Pb: 0.0959 0.9041 0.5000
Pb: 0.2944 0.7056 0.5000
Pb: 0.4050 0.5950 0.0000
Pb: 0.5950 0.4050 0.0000
Pb: 0.7056 0.2944 0.5000
Pb: 0.9041 0.0959 0.5000


[19]
Below is YInPd after structural relaxation, with properties calculated at the PBE level.

E_tot ... -5.170 eV per atom

a = 8.2154 Å, b = 8.2154 Å, c = 3.3588 Å
α = 90.00°, β = 90.00°, γ = 120.00°
Positions (direct):
Y: 0.0000 0.2954 0.0000
Y: 0.2954 0.0000 0.0000
Y: 0.7046 0.7046 0.0000
In: 0.0000 0.0000 0.5000
In: 0.3333 0.6667 0.0000
In: 0.6667 0.3333 0.0000
Pd: 0.0000 0.6297 0.5000
Pd: 0.3703 0.3703 0.5000
Pd: 0.6297 0.0000 0.5000


[20]
Below is Er3TmPb2N2 after structural relaxation, with properties calculated at the PBE level.

E_tot ... -6.393 eV per atom

a = 3.5078 Å, b = 3.5078 Å, c = 15.3992 Å
α = 90.00°, β = 90.00°, γ = 120.00°
Positions (direct):
Er: 0.0000 0.0000 0.0000
Er: 0.0000 0.0000 0.3337
Er: 0.3333 0.6667 0.5002
Tm: 0.3333 0.6667 0.8342
Pb: 0.0000 0.0000 0.6675
Pb: 0.3333 0.6667 0.1668
N: 0.6667 0.3333 0.4169
N: 0.6667 0.3333 0.9158


[21]
Below is ErTmGa2Ni4 after structural relaxation, with properties calculated at the PBE level.

E_tot ... -5.257 eV per atom

a = 4.1339 Å, b = 4.1339 Å, c = 8.7423 Å
α = 90.00°, β = 90.00°, γ = 120.00°
Positions (direct):
Er: 0.0000 0.0000 0.0000
Tm: 0.6667 0.3333 0.5000
Ga: 0.3333 0.6667 0.2507
Ga: 0.3333 0.6667 0.7493
Ni: 0.0000 0.0000 0.3163
Ni: 0.0000 0.0000 0.6837
Ni: 0.6667 0.3333 0.1857
Ni: 0.6667 0.3333 0.8143


[22]
Below is ErAuSeO after structural relaxation, with properties calculated at the PBE level.

Excess energy over the best structure of this formula in the dataset ... 0.097 eV per atom

a = 5.5314 Å, b = 5.5314 Å, c = 9.4949 Å
α = 90.00°, β = 90.00°, γ = 90.00°
Positions (direct):
Er: 0.0000 0.0000 0.0000
Er: 0.0000 0.5000 0.7696
Er: 0.5000 0.0000 0.7696
Er: 0.5000 0.5000 0.9988
Au: 0.2498 0.2498 0.3833
Au: 0.2498 0.7502 0.3833
Au: 0.7502 0.2498 0.3833
Au: 0.7502 0.7502 0.3833
Se: 0.0000 0.0000 0.6031
Se: 0.0000 0.5000 0.1643
Se: 0.5000 0.0000 0.1643
Se: 0.5000 0.5000 0.6037
O: 0.2498 0.2498 0.8846
O: 0.2498 0.7502 0.8846
O: 0.7502 0.2498 0.8846
O: 0.7502 0.7502 0.8846


[23]
Below is GaSnW4N2 after structural relaxation, with properties calculated at the PBE level.

E_tot ... -9.152 eV per atom

a = 2.9118 Å, b = 2.9118 Å, c = 14.8933 Å
α = 90.00°, β = 90.00°, γ = 120.00°
Positions (direct):
Ga: 0.0000 0.0000 0.0000
Sn: 0.3333 0.6667 0.5000
W: 0.0000 0.0000 0.3380
W: 0.0000 0.0000 0.6620
W: 0.3333 0.6667 0.1484
W: 0.3333 0.6667 0.8516
N: 0.6667 0.3333 0.2435
N: 0.6667 0.3333 0.7565


[24]
Below is Gd2ErNi2B2N3 after structural relaxation, with properties calculated at the PBE level.

E_tot ... -7.547 eV per atom

a = 10.2958 Å, b = 10.2958 Å, c = 10.2958 Å
α = 160.47°, β = 160.47°, γ = 27.76°
Positions (direct):
Gd: 0.1231 0.1231 0.0000
Gd: 0.8769 0.8769 0.0000
Er: 0.5000 0.5000 0.0000
Ni: 0.2500 0.7500 0.5000
Ni: 0.7500 0.2500 0.5000
B: 0.3108 0.3108 0.0000
B: 0.6892 0.6892 0.0000
N: 0.0000 0.0000 0.0000
N: 0.3838 0.3838 0.0000
N: 0.6162 0.6162 0.0000


[25]
Below is GdScGe2 after structural relaxation, with properties calculated at the PBE level.

E_tot ... -4.990 eV per atom

a = 3.1813 Å, b = 6.2878 Å, c = 6.2878 Å
α = 53.99°, β = 90.00°, γ = 90.00°
Positions (direct):
Gd: 0.0000 0.0000 0.0000
Sc: 0.0000 0.7049 0.7049
Ge: 0.0000 0.2529 0.2529
Ge: 0.0000 0.4712 0.4712


[26]
Below is InOsPb2O6 after structural relaxation, with properties calculated at the PBE level.

E_tot ... -6.177 eV per atom

a = 5.7484 Å, b = 5.7484 Å, c = 5.7484 Å
α = 60.00°, β = 60.00°, γ = 60.00°
Positions (direct):
In: 0.0000 0.0000 0.0000
Os: 0.5000 0.5000 0.5000
Pb: 0.2500 0.2500 0.2500
Pb: 0.7500 0.7500 0.7500
O: 0.2605 0.2605 0.7395
O: 0.2605 0.7395 0.2605
O: 0.2605 0.7395 0.7395
O: 0.7395 0.2605 0.2605
O: 0.7395 0.2605 0.7395
O: 0.7395 0.7395 0.2605